# 1
Material: NiB4Mo
Method: DFT, PBE
State: optimized geometry

Output
Electronic total energy: -43.7 eV per cell
E above lowest polymorph: 0 meV/atom

Structure (POSCAR):
```
NiB4Mo
1.0
2.984 0.000 0.000
-1.492 2.584 0.000
0.000 0.000 6.503
Ni B Mo
1 4 1
Direct
0.000 0.000 0.500 Ni
0.333 0.667 0.741 B
0.333 0.667 0.259 B
0.667 0.333 0.259 B
0.667 0.333 0.741 B
0.000 0.000 0.000 Mo
```



# 2
Material: NiB2Mo
Method: DFT, PBE
State: optimized geometry

Output
Electronic total energy: -26.2 eV per cell

Structure (POSCAR):
```
NiB2Mo
1.0
0.000 2.719 2.719
2.719 0.000 2.719
2.719 2.719 0.000
Mo B Ni
1 2 1
Direct
0.750 0.750 0.750 Mo
0.500 0.500 0.500 B
0.250 0.250 0.250 B
0.000 0.000 0.000 Ni
```



Which value of electronic total energy does entry 2 give?
-26.2 eV per cell